Record 1
The following is a DFT calculation (PBE-GGA) of Cu2OsPtO after structural relaxation.

```
data_Cu2OsPtO
_chemical_formula_sum 'Cu2 Os1 Pt1 O1'
_cell_length_a 3.881
_cell_length_b 3.881
_cell_length_c 4.450
_cell_angle_alpha 90.00
_cell_angle_beta 90.00
_cell_angle_gamma 90.00
_space_group_name_H-M_alt 'P 4/m m m'
_space_group_IT_number 123
_space_group_name_Hall '-P 4 2'
loop_
_atom_site_label
_atom_site_type_symbol
_atom_site_fract_x
_atom_site_fract_y
_atom_site_fract_z
Cu1 Cu 0.000 0.500 0.000
Os1 Os 0.000 0.000 0.500
Pt1 Pt 0.500 0.500 0.500
O1 O 0.500 0.500 0.000
```

Properties
Raw formation energy (eV per atom): 0.61

***

Record 2
The following is a DFT calculation (PBE-GGA) of Tb2Pm3Tl after structural relaxation.

```
data_Tb2Pm3Tl
_chemical_formula_sum 'Tb4 Pm6 Tl2'
_cell_length_a 4.963
_cell_length_b 15.358
_cell_length_c 4.929
_cell_angle_alpha 90.00
_cell_angle_beta 90.00
_cell_angle_gamma 90.00
_space_group_name_H-M_alt 'C m m m'
_space_group_IT_number 65
_space_group_name_Hall '-C 2 2'
loop_
_atom_site_label
_atom_site_type_symbol
_atom_site_fract_x
_atom_site_fract_y
_atom_site_fract_z
Tb1 Tb 0.000 0.163 0.000
Pm1 Pm 0.000 0.000 0.500
Pm2 Pm 0.000 0.331 0.500
Tl1 Tl 0.000 0.500 0.000
```

***

Number 1: raw total energy -5.48 eV/atom, M_tot 2.19 μB/f.u.. Number 2: raw total energy -4.42 eV/atom, M_tot 0.00 μB/f.u..